Entry from the Alexandria database: an optimized crystal structure of LuZrNiAu (PBE-GGA).

Cell lengths 4.787, 4.787, 4.787 Å; angles 60.00, 60.00, 60.00 degrees
Sites, in units of the cell vectors:
Ni 0.250 0.250 0.250
Lu 0.000 0.000 0.000
Au 0.750 0.750 0.750
Zr 0.500 0.500 0.500

Summary:
**Crystal system**: cubic
**Total DFT energy (no corrections)**: -0.441 Ry/atom
**V**: 19.39 Å³/atom
**Magnetic moment**: 0.000 μB/atom
**Space-group type**: F-43m



Entry from the Alexandria database: an optimized crystal structure of As5Pb3 (PBE-GGA).

Cell lengths 9.873, 7.391, 9.443 Å; angles 90.93, 104.00, 135.87 degrees
Sites, in units of the cell vectors:
Pb 0.679 0.645 0.928
Pb 0.251 0.217 0.072
Pb 0.465 0.273 0.500
Pb 0.662 0.910 0.500
Pb 0.163 0.637 0.848
Pb 0.815 0.289 0.152
As 0.225 0.506 0.500
As 0.883 0.589 0.500
As 0.748 0.113 0.839
As 0.233 0.860 0.222
As 0.733 0.666 0.289
As 0.253 0.370 0.735
As 0.511 0.138 0.778
As 0.409 0.774 0.161
As 0.018 0.135 0.265
As 0.944 0.878 0.711

Summary:
**Crystal system**: monoclinic
**Total DFT energy (no corrections)**: -0.310 Ry/atom
**V**: 27.92 Å³/atom
**Magnetic moment**: 0.000 μB/atom
**ΔE to the lowest computed polymorph**: 0.00 kJ/mol of atoms
**Space-group type**: Cm



Entry from the Alexandria database: an optimized crystal structure of RbHCl2 (PBE-GGA).

Cell lengths 8.539, 8.539, 8.539 Å; angles 25.97, 25.97, 25.97 degrees
Sites, in units of the cell vectors:
H 0.500 0.500 0.500
Rb 0.000 0.000 0.000
Cl 0.883 0.883 0.883
Cl 0.117 0.117 0.117

Summary:
**Crystal system**: trigonal
**Total DFT energy (no corrections)**: -0.148 Ry/atom
**V**: 26.29 Å³/atom
**Magnetic moment**: 0.000 μB/atom
**ΔE to the lowest computed polymorph**: 120.45 kJ/mol of atoms
**Space-group type**: R-3m



Entry from the Alexandria database: an optimized crystal structure of BaTa2Cr2 (PBE-GGA).

Cell lengths 4.129, 4.129, 6.984 Å; angles 72.81, 72.81, 90.00 degrees
Sites, in units of the cell vectors:
Cr 0.750 0.250 0.500
Cr 0.250 0.750 0.500
Ba 0.000 0.000 0.000
Ta 0.361 0.361 0.278
Ta 0.639 0.639 0.722

Summary:
**Crystal system**: tetragonal
**Total DFT energy (no corrections)**: -0.592 Ry/atom
**V**: 21.63 Å³/atom
**Magnetic moment**: 0.000 μB/atom
**ΔE to the lowest computed polymorph**: 11.16 kJ/mol of atoms
**Space-group type**: I4/mmm



Entry from the Alexandria database: an optimized crystal structure of KZr2Re (PBE-GGA).

Cell lengths 4.938, 4.938, 3.531 Å; angles 90.00, 90.00, 96.30 degrees
Sites, in units of the cell vectors:
K 0.500 0.000 0.500
Re 0.000 0.500 0.500
Zr 0.000 0.000 0.000
Zr 0.500 0.500 0.000

Summary:
**Crystal system**: orthorhombic
**Total DFT energy (no corrections)**: -0.488 Ry/atom
**V**: 21.39 Å³/atom
**Magnetic moment**: 0.000 μB/atom
**ΔE to the lowest computed polymorph**: 79.84 kJ/mol of atoms
**Space-group type**: Cmmm



Entry from the Alexandria database: an optimized crystal structure of TbTlF (PBE-GGA).

Cell lengths 3.882, 6.170, 7.327 Å; angles 57.28, 105.34, 90.01 degrees
Sites, in units of the cell vectors:
Tb 0.823 0.142 0.646
Tb 0.177 0.858 0.354
F 0.242 0.136 0.485
F 0.758 0.864 0.515
Tl 0.552 0.665 0.104
Tl 0.448 0.335 0.896

Summary:
**E_form (uncorrected)**: -1.800 eV per atom
**Crystal system**: monoclinic
**Total DFT energy (no corrections)**: -0.350 Ry/atom
**V**: 23.36 Å³/atom
**Magnetic moment**: 0.000 μB/atom
**ΔE to the lowest computed polymorph**: 0.00 kJ/mol of atoms
**Space-group type**: C2/m



Entry from the Alexandria database: an optimized crystal structure of Tb8RhAu2 (PBE-GGA).

Cell lengths 5.120, 6.808, 9.127 Å; angles 103.06, 106.29, 90.00 degrees
Sites, in units of the cell vectors:
Tb 0.412 0.560 0.824
Tb 0.659 0.969 0.319
Tb 0.797 0.680 0.594
Tb 0.971 0.216 0.941
Tb 0.203 0.320 0.406
Tb 0.341 0.031 0.681
Tb 0.588 0.440 0.176
Tb 0.029 0.784 0.059
Rh 0.500 0.000 0.000
Au 0.810 0.267 0.619
Au 0.190 0.733 0.381

Summary:
**Crystal system**: monoclinic
**Total DFT energy (no corrections)**: -0.375 Ry/atom
**V**: 26.98 Å³/atom
**Magnetic moment**: 0.000 μB/atom
**Space-group type**: C2/m



Entry from the Alexandria database: an optimized crystal structure of Pm3Zn2Cd (PBE-GGA).

Cell lengths 3.683, 3.683, 11.356 Å; angles 90.00, 90.00, 90.00 degrees
Sites, in units of the cell vectors:
Pm 0.000 0.000 0.000
Pm 0.000 0.000 0.684
Pm 0.000 0.000 0.316
Zn 0.500 0.500 0.841
Zn 0.500 0.500 0.159
Cd 0.500 0.500 0.500

Summary:
**Crystal system**: tetragonal
**Total DFT energy (no corrections)**: -0.240 Ry/atom
**V**: 25.67 Å³/atom
**Magnetic moment**: 0.000 μB/atom
**Space-group type**: P4/mmm



Entry from the Alexandria database: an optimized crystal structure of Dy5Zn2Se2 (PBE-GGA).

Cell lengths 7.648, 7.570, 8.432 Å; angles 90.00, 63.03, 90.00 degrees
Sites, in units of the cell vectors:
Dy 0.000 0.000 0.000
Dy 0.500 0.500 0.000
Dy 0.471 0.161 0.721
Dy 0.808 0.839 0.721
Dy 0.308 0.661 0.721
Dy 0.971 0.339 0.721
Dy 0.529 0.839 0.279
Dy 0.192 0.161 0.279
Dy 0.692 0.339 0.279
Dy 0.029 0.661 0.279
Zn 0.126 0.379 0.000
Zn 0.874 0.621 0.000
Zn 0.374 0.879 0.000
Zn 0.626 0.121 0.000
Se 0.198 0.000 0.604
Se 0.698 0.500 0.604
Se 0.802 0.000 0.396
Se 0.302 0.500 0.396

Summary:
**E_form (uncorrected)**: -0.875 eV per atom
**Crystal system**: orthorhombic
**Total DFT energy (no corrections)**: -0.330 Ry/atom
**V**: 24.17 Å³/atom
**Magnetic moment**: 0.000 μB/atom
**Space-group type**: Cmce



Entry from the Alexandria database: an optimized crystal structure of SrZrSb3 (PBE-GGA).

Cell lengths 5.583, 5.583, 5.583 Å; angles 90.00, 90.00, 90.00 degrees
Sites, in units of the cell vectors:
Sb 0.000 0.500 0.000
Sb 0.000 0.000 0.500
Sb 0.500 0.000 0.000
Zr 0.000 0.000 0.000
Sr 0.500 0.500 0.500

Summary:
**E_form (uncorrected)**: -0.341 eV per atom
**Crystal system**: cubic
**Total DFT energy (no corrections)**: -0.357 Ry/atom
**V**: 34.81 Å³/atom
**Magnetic moment**: 0.000 μB/atom
**ΔE to the lowest computed polymorph**: 0.00 kJ/mol of atoms
**Space-group type**: Pm-3m



Entry from the Alexandria database: an optimized crystal structure of Sr2SiBr (PBE-GGA).

Cell lengths 6.391, 6.391, 5.327 Å; angles 90.01, 90.01, 34.73 degrees
Sites, in units of the cell vectors:
Br 0.497 0.497 0.625
Si 0.259 0.259 0.125
Sr 0.994 0.994 0.125
Sr 0.750 0.750 0.625

Summary:
**E_form (uncorrected)**: -0.867 eV per atom
**Crystal system**: orthorhombic
**Total DFT energy (no corrections)**: -0.256 Ry/atom
**V**: 30.99 Å³/atom
**Magnetic moment**: 0.000 μB/atom
**ΔE to the lowest computed polymorph**: 6.48 kJ/mol of atoms
**Space-group type**: Amm2



Entry from the Alexandria database: an optimized crystal structure of Mn2AgOs (PBE-GGA).

Cell lengths 4.574, 4.574, 4.815 Å; angles 80.54, 80.54, 34.39 degrees
Sites, in units of the cell vectors:
Ag 0.250 0.250 0.250
Mn 0.007 0.007 0.945
Mn 0.493 0.493 0.555
Os 0.750 0.750 0.750

Summary:
**Crystal system**: monoclinic
**Total DFT energy (no corrections)**: -0.556 Ry/atom
**V**: 14.01 Å³/atom
**Magnetic moment**: 0.501 μB/atom
**Space-group type**: C2/m



Entry from the Alexandria database: an optimized crystal structure of KZnBi2H (PBE-GGA).

Cell lengths 4.834, 5.527, 4.834 Å; angles 90.00, 90.00, 90.00 degrees
Sites, in units of the cell vectors:
K 0.500 0.500 0.500
H 0.000 0.000 0.000
Zn 0.000 0.500 0.000
Bi 0.000 0.000 0.500
Bi 0.500 0.000 0.000

Summary:
**Crystal system**: tetragonal
**Total DFT energy (no corrections)**: -0.183 Ry/atom
**V**: 25.83 Å³/atom
**Magnetic moment**: 0.000 μB/atom
**Space-group type**: P4/mmm



Entry from the Alexandria database: an optimized crystal structure of MnVPCl2 (PBE-GGA).

Cell lengths 4.677, 4.677, 4.922 Å; angles 90.00, 90.00, 90.00 degrees
Sites, in units of the cell vectors:
Cl 0.000 0.500 0.000
Cl 0.500 0.000 0.000
Mn 0.500 0.500 0.500
P 0.000 0.000 0.500
V 0.000 0.000 0.000

Summary:
**E_form (uncorrected)**: -0.004 eV per atom
**Crystal system**: tetragonal
**Total DFT energy (no corrections)**: -0.403 Ry/atom
**V**: 21.53 Å³/atom
**Magnetic moment**: 1.406 μB/atom
**ΔE to the lowest computed polymorph**: 0.00 kJ/mol of atoms
**Space-group type**: P4/mmm



Entry from the Alexandria database: an optimized crystal structure of ScSI (PBE-GGA).

Cell lengths 8.038, 7.774, 8.146 Å; angles 90.00, 49.94, 90.00 degrees
Sites, in units of the cell vectors:
Sc 0.713 0.373 0.282
Sc 0.287 0.627 0.718
Sc 0.213 0.127 0.782
Sc 0.787 0.873 0.218
I 0.206 0.387 0.051
I 0.794 0.613 0.949
I 0.294 0.887 0.449
I 0.706 0.113 0.551
S 0.186 0.866 0.982
S 0.686 0.634 0.482
S 0.814 0.134 0.018
S 0.314 0.366 0.518

Summary:
**E_form (uncorrected)**: -1.563 eV per atom
**Crystal system**: monoclinic
**Total DFT energy (no corrections)**: -0.409 Ry/atom
**V**: 32.47 Å³/atom
**Magnetic moment**: 0.000 μB/atom
**Space-group type**: P2_1/c



Entry from the Alexandria database: an optimized crystal structure of Ce2Al5Ni3 (PBE-GGA).

Cell lengths 4.196, 6.676, 12.337 Å; angles 90.00, 99.79, 90.00 degrees
Sites, in units of the cell vectors:
Ce 0.475 0.781 0.951
Ce 0.173 0.712 0.347
Ce 0.827 0.212 0.653
Ce 0.525 0.281 0.049
Al 0.401 0.405 0.803
Al 0.288 0.505 0.577
Al 0.712 0.005 0.423
Al 0.130 0.239 0.260
Al 0.293 0.896 0.586
Al 0.946 0.115 0.893
Al 0.707 0.396 0.414
Al 0.870 0.739 0.740
Al 0.054 0.615 0.107
Al 0.599 0.905 0.197
Ni 0.770 0.699 0.540
Ni 0.608 0.517 0.216
Ni 0.049 0.995 0.099
Ni 0.230 0.199 0.460
Ni 0.951 0.495 0.901
Ni 0.392 0.017 0.784

Summary:
**Crystal system**: orthorhombic
**Total DFT energy (no corrections)**: -0.392 Ry/atom
**V**: 17.03 Å³/atom
**Magnetic moment**: 0.000 μB/atom
**Space-group type**: Cmc2_1



Entry from the Alexandria database: an optimized crystal structure of LaZnIn (PBE-GGA).

Cell lengths 5.138, 5.138, 5.138 Å; angles 60.00, 60.00, 60.00 degrees
Sites, in units of the cell vectors:
Zn 0.750 0.750 0.750
In 0.250 0.250 0.250
La 0.500 0.500 0.500

Summary:
**Crystal system**: cubic
**Total DFT energy (no corrections)**: -0.214 Ry/atom
**V**: 31.97 Å³/atom
**Magnetic moment**: 0.000 μB/atom
**Space-group type**: F-43m



Entry from the Alexandria database: an optimized crystal structure of KNaAg2Cl4 (PBE-GGA).

Cell lengths 7.168, 6.643, 6.643 Å; angles 68.92, 57.35, 57.35 degrees
Sites, in units of the cell vectors:
K 0.000 0.000 0.000
Na 0.500 0.500 0.500
Ag 0.181 0.319 0.319
Ag 0.819 0.681 0.681
Cl 0.443 0.119 0.524
Cl 0.086 0.881 0.476
Cl 0.914 0.524 0.119
Cl 0.557 0.476 0.881

Summary:
**E_form (uncorrected)**: -1.146 eV per atom
**Crystal system**: orthorhombic
**Total DFT energy (no corrections)**: -0.227 Ry/atom
**V**: 27.90 Å³/atom
**Magnetic moment**: 0.000 μB/atom
**Space-group type**: I222



Entry from the Alexandria database: an optimized crystal structure of FeCuP2 (PBE-GGA).

Cell lengths 3.870, 3.870, 4.695 Å; angles 82.05, 82.05, 46.50 degrees
Sites, in units of the cell vectors:
Cu 0.250 0.250 0.250
Fe 0.750 0.750 0.750
P 0.021 0.021 0.953
P 0.479 0.479 0.547

Summary:
**Crystal system**: monoclinic
**Total DFT energy (no corrections)**: -0.429 Ry/atom
**V**: 12.61 Å³/atom
**Magnetic moment**: 0.168 μB/atom
**Space-group type**: C2/m



Entry from the Alexandria database: an optimized crystal structure of Al2CrCoTe (PBE-GGA).

Cell lengths 4.799, 4.287, 4.799 Å; angles 90.00, 90.00, 90.00 degrees
Sites, in units of the cell vectors:
Cr 0.000 0.000 0.000
Te 0.500 0.500 0.500
Co 0.000 0.500 0.000
Al 0.000 0.000 0.500
Al 0.500 0.000 0.000

Summary:
**E_form (uncorrected)**: 0.779 eV per atom
**Crystal system**: tetragonal
**Total DFT energy (no corrections)**: -0.345 Ry/atom
**V**: 19.75 Å³/atom
**Magnetic moment**: 0.397 μB/atom
**Space-group type**: P4/mmm